Arrangement one

This record from the Alexandria database describes SrSn3I after structural relaxation. The functional is PBE.

Cell: 6.260 6.260 6.260 Å, 90.00 90.00 90.00°
Last column: magnetic moment on the atom in μB.
Fractional coordinates of all 5 atoms:
Sn1 0.000 0.000 0.500  0.19
I1 0.500 0.500 0.500  0.16
Sn2 0.500 0.000 0.000  0.25
Sn3 0.000 0.500 0.000  0.25
Sr1 0.000 0.000 0.000  0.18

Arrangement two

This record from the Alexandria database describes SrSn3I after structural relaxation. The functional is PBE.

Cell: 5.893 5.893 5.893 Å, 90.00 90.00 90.00°
Fractional coordinates of all 5 atoms:
I1 0.000 0.000 0.000
Sr1 0.500 0.500 0.500
Sn1 0.500 0.000 0.000
Sn2 0.000 0.500 0.000
Sn3 0.000 0.000 0.500

Which of them is the least stable? Correct choice: arrangement one.

Arrangement one

This record from the Alexandria database describes SrSnI3 after structural relaxation. The functional is PBE.

Cell: 6.325 6.325 6.325 Å, 90.00 90.00 90.00°
Last column: magnetic moment on the atom in μB.
Fractional coordinates of all 5 atoms:
I1 0.000 0.000 0.500  -0.01
Sr1 0.000 0.000 0.000  0.00
Sn1 0.500 0.500 0.500  0.43
I2 0.000 0.500 0.000  0.00
I3 0.500 0.000 0.000  -0.01

Arrangement two

This record from the Alexandria database describes SrSnI3 after structural relaxation. The functional is PBE.

Cell: 6.173 6.173 6.173 Å, 90.00 90.00 90.00°
Fractional coordinates of all 5 atoms:
I1 0.000 0.000 0.500
I2 0.500 0.000 0.000
Sr1 0.500 0.500 0.500
I3 0.000 0.500 0.000
Sn1 0.000 0.000 0.000

Which of them is the least stable? Correct choice: arrangement two.